NaEuNbWO6: optimized geometry, GGA+U.

The calculation puts the total energy at -8.22 eV/atom.

abc: 5.7240 5.7240 5.7240
angles: 60.00 60.00 60.00
Last column: nearest neighbours and their distance in Å.
Fractional positions:
Na: 0.0000 0.0000 0.0000  12 O 2.86
Eu: 0.5000 0.5000 0.5000  12 O 2.86
Nb: 0.2500 0.2500 0.2500  6 O 2.01
W: 0.7500 0.7500 0.7500  6 O 2.04
O: 0.0020 0.0020 0.4980  1 Nb 2.01, 1 W 2.04
O: 0.0020 0.4980 0.0020  1 Nb 2.01, 1 W 2.04
O: 0.0020 0.4980 0.4980  1 Nb 2.01, 1 W 2.04
O: 0.4980 0.0020 0.0020  1 Nb 2.01, 1 W 2.04
O: 0.4980 0.0020 0.4980  1 Nb 2.01, 1 W 2.04
O: 0.4980 0.4980 0.0020  1 Nb 2.01, 1 W 2.04